VASP calculation (GGA-PBEsol) on an optimized crystal structure of CaGe2Pt.

Structure (POSCAR):
```
CaGe2Pt
1.0
4.383 0.000 0.000
0.000 8.825 0.000
-2.192 -4.413 7.995
Ca Ge Pt
4 8 4
Cartesian
0.000 4.413 3.247
2.192 0.000 4.748
0.000 2.244 0.000
0.000 6.581 0.000
0.000 0.000 6.791
2.192 4.413 1.204
0.000 4.413 6.745
2.192 3.102 4.841
2.192 5.724 4.841
2.192 0.000 1.250
0.000 -1.311 3.154
0.000 1.311 3.154
0.000 -2.192 5.623
0.000 2.192 5.623
2.192 6.605 2.372
2.192 2.220 2.372
```

The uncorrected energy comes out at -5.52 eV/atom. For the total magnetization, the calculation gives 0.00 μB per cell.